NaHfAl: optimized geometry, GGA-PBE.

Summary:
The calculation puts the total magnetization at 0.000 μB per formula unit. The formation energy is 0.04 eV/atom. The calculation puts the energy relative to the lowest polymorph listed for this composition at 62 meV per atom.

Cell lengths 8.689, 4.949, 3.028 Å; angles 90.00, 99.35, 90.00 degrees
Fractional positions:
Hf: 0.111 0.750 0.087
Hf: 0.889 0.250 0.913
Al: 0.808 0.750 0.394
Al: 0.192 0.250 0.606
Na: 0.456 0.750 0.733
Na: 0.544 0.250 0.267


AgBiP: optimized geometry, GGA-PBE.

Summary:
The calculation puts the total magnetization at 0.000 μB per formula unit. The formation energy is 0.28 eV/atom.

Cell lengths 7.441, 8.262, 6.606 Å; angles 128.70, 90.00, 90.00 degrees
Fractional positions:
Ag: 0.042 0.670 0.000
Ag: 0.542 0.830 0.000
Ag: 0.958 0.330 0.000
Ag: 0.458 0.170 0.000
P: 0.221 0.923 0.000
P: 0.779 0.077 0.000
P: 0.721 0.577 0.000
P: 0.279 0.423 0.000
Bi: 0.500 0.304 0.607
Bi: 0.500 0.696 0.393
Bi: 0.000 0.804 0.607
Bi: 0.000 0.196 0.393


Let's list V in order: 128.5; 316.9 Å³ per cell.